No. 1
The following is a PBE calculation of TbPmEuMg after structural relaxation, from Alexandria.

The total energy comes out at -5.249 eV/atom.

CIF file:
```
data_TbPmEuMg
_chemical_formula_sum 'Tb4 Pm4 Eu4 Mg4'
_cell_length_a 7.982
_cell_length_b 7.982
_cell_length_c 7.982
_cell_angle_alpha 90.00
_cell_angle_beta 90.00
_cell_angle_gamma 90.00
_symmetry_space_group_name_H-M 'F -4 3 m'
_symmetry_Int_Tables_number 216
_symmetry_space_group_name_Hall 'F -4 2 3'
loop_
_atom_site_label
_atom_site_fract_x
_atom_site_fract_y
_atom_site_fract_z
_atom_site_occupancy
Tb1 0.000 0.000 0.000 1
Pm1 0.000 0.000 0.500 1
Eu1 0.250 0.250 0.250 1
Mg1 0.250 0.250 0.750 1
```

---

No. 2
The following is a PBE calculation of PmEuThMg after structural relaxation, from Alexandria.

The total energy comes out at -5.794 eV/atom.

CIF file:
```
data_PmEuThMg
_chemical_formula_sum 'Pm4 Eu4 Th4 Mg4'
_cell_length_a 8.021
_cell_length_b 8.021
_cell_length_c 8.021
_cell_angle_alpha 90.00
_cell_angle_beta 90.00
_cell_angle_gamma 90.00
_symmetry_space_group_name_H-M 'F -4 3 m'
_symmetry_Int_Tables_number 216
_symmetry_space_group_name_Hall 'F -4 2 3'
loop_
_atom_site_label
_atom_site_fract_x
_atom_site_fract_y
_atom_site_fract_z
_atom_site_occupancy
Pm1 0.000 0.000 0.000 1
Eu1 0.000 0.000 0.500 1
Th1 0.250 0.250 0.250 1
Mg1 0.250 0.250 0.750 1
```

---

No. 3
The following is a PBE calculation of PmEuMgTl after structural relaxation, from Alexandria.

The total energy comes out at -4.998 eV/atom.

CIF file:
```
data_PmEuMgTl
_chemical_formula_sum 'Pm4 Eu4 Mg4 Tl4'
_cell_length_a 7.836
_cell_length_b 7.836
_cell_length_c 7.836
_cell_angle_alpha 90.00
_cell_angle_beta 90.00
_cell_angle_gamma 90.00
_symmetry_space_group_name_H-M 'F -4 3 m'
_symmetry_Int_Tables_number 216
_symmetry_space_group_name_Hall 'F -4 2 3'
loop_
_atom_site_label
_atom_site_fract_x
_atom_site_fract_y
_atom_site_fract_z
_atom_site_occupancy
Pm1 0.000 0.000 0.000 1
Eu1 0.000 0.000 0.500 1
Mg1 0.250 0.250 0.750 1
Tl1 0.250 0.250 0.250 1
```

---

No. 4
The following is a PBE calculation of PmEuYMg after structural relaxation, from Alexandria.

The total energy comes out at -5.712 eV/atom.

CIF file:
```
data_PmEuYMg
_chemical_formula_sum 'Pm4 Eu4 Y4 Mg4'
_cell_length_a 7.988
_cell_length_b 7.988
_cell_length_c 7.988
_cell_angle_alpha 90.00
_cell_angle_beta 90.00
_cell_angle_gamma 90.00
_symmetry_space_group_name_H-M 'F -4 3 m'
_symmetry_Int_Tables_number 216
_symmetry_space_group_name_Hall 'F -4 2 3'
loop_
_atom_site_label
_atom_site_fract_x
_atom_site_fract_y
_atom_site_fract_z
_atom_site_occupancy
Pm1 0.000 0.000 0.000 1
Eu1 0.250 0.250 0.250 1
Y1 0.000 0.000 0.500 1
Mg1 0.250 0.250 0.750 1
```

---

No. 5
The following is a PBE calculation of PrEuMg after structural relaxation, from Alexandria.

The total energy comes out at -5.582 eV/atom. For the energy above the lowest structure with this stoichiometry, the calculation gives 0 meV per atom.

CIF file:
```
data_PrEuMg
_chemical_formula_sum 'Pr2 Eu2 Mg2'
_cell_length_a 3.893
_cell_length_b 3.893
_cell_length_c 13.343
_cell_angle_alpha 90.00
_cell_angle_beta 90.00
_cell_angle_gamma 90.00
_symmetry_space_group_name_H-M 'I 4 m m'
_symmetry_Int_Tables_number 107
_symmetry_space_group_name_Hall 'I 4 -2'
loop_
_atom_site_label
_atom_site_fract_x
_atom_site_fract_y
_atom_site_fract_z
_atom_site_occupancy
Pr1 0.000 0.000 0.000 1
Eu1 0.000 0.000 0.699 1
Mg1 0.000 0.000 0.356 1
```

---

No. 6
The following is a PBE calculation of PrEuMg after structural relaxation, from Alexandria.

The total energy comes out at -5.506 eV/atom. For the energy above the lowest structure with this stoichiometry, the calculation gives 76 meV per atom.

CIF file:
```
data_PrEuMg
_chemical_formula_sum 'Pr1 Eu1 Mg1'
_cell_length_a 5.6912
_cell_length_b 5.6912
_cell_length_c 3.5092
_cell_angle_alpha 90.00
_cell_angle_beta 90.00
_cell_angle_gamma 120.00
_symmetry_space_group_name_H-M 'P 3 m 1'
_symmetry_Int_Tables_number 156
_symmetry_space_group_name_Hall 'P 3 -2"'
loop_
_atom_site_label
_atom_site_fract_x
_atom_site_fract_y
_atom_site_fract_z
_atom_site_occupancy
Pr1 0.0000 0.0000 0.0000 1
Eu1 0.3333 0.6667 0.3960 1
Mg1 0.6667 0.3333 0.6654 1
```

---

No. 7
The following is a PBE calculation of PrEuPuMg after structural relaxation, from Alexandria.

The total energy comes out at -7.555 eV/atom.

CIF file:
```
data_PrEuPuMg
_chemical_formula_sum 'Pr4 Eu4 Pu4 Mg4'
_cell_length_a 7.991
_cell_length_b 7.991
_cell_length_c 7.991
_cell_angle_alpha 90.00
_cell_angle_beta 90.00
_cell_angle_gamma 90.00
_symmetry_space_group_name_H-M 'F -4 3 m'
_symmetry_Int_Tables_number 216
_symmetry_space_group_name_Hall 'F -4 2 3'
loop_
_atom_site_label
_atom_site_fract_x
_atom_site_fract_y
_atom_site_fract_z
_atom_site_occupancy
Pr1 0.000 0.000 0.000 1
Eu1 0.000 0.000 0.500 1
Pu1 0.250 0.250 0.250 1
Mg1 0.250 0.250 0.750 1
```

---

No. 8
The following is a PBE calculation of PrEuMgRh after structural relaxation, from Alexandria.

The total energy comes out at -6.222 eV/atom.

CIF file:
```
data_PrEuMgRh
_chemical_formula_sum 'Pr4 Eu4 Mg4 Rh4'
_cell_length_a 7.408
_cell_length_b 7.408
_cell_length_c 7.408
_cell_angle_alpha 90.00
_cell_angle_beta 90.00
_cell_angle_gamma 90.00
_symmetry_space_group_name_H-M 'F -4 3 m'
_symmetry_Int_Tables_number 216
_symmetry_space_group_name_Hall 'F -4 2 3'
loop_
_atom_site_label
_atom_site_fract_x
_atom_site_fract_y
_atom_site_fract_z
_atom_site_occupancy
Pr1 0.000 0.000 0.000 1
Eu1 0.000 0.000 0.500 1
Mg1 0.250 0.250 0.250 1
Rh1 0.250 0.250 0.750 1
```

---

No. 9
The following is a PBE calculation of PrEuMgRu after structural relaxation, from Alexandria.

The total energy comes out at -6.446 eV/atom.

CIF file:
```
data_PrEuMgRu
_chemical_formula_sum 'Pr4 Eu4 Mg4 Ru4'
_cell_length_a 7.340
_cell_length_b 7.340
_cell_length_c 7.340
_cell_angle_alpha 90.00
_cell_angle_beta 90.00
_cell_angle_gamma 90.00
_symmetry_space_group_name_H-M 'F -4 3 m'
_symmetry_Int_Tables_number 216
_symmetry_space_group_name_Hall 'F -4 2 3'
loop_
_atom_site_label
_atom_site_fract_x
_atom_site_fract_y
_atom_site_fract_z
_atom_site_occupancy
Pr1 0.000 0.000 0.000 1
Eu1 0.000 0.000 0.500 1
Mg1 0.250 0.250 0.750 1
Ru1 0.250 0.250 0.250 1
```

---

No. 10
The following is a PBE calculation of PrSmEuMg after structural relaxation, from Alexandria.

The total energy comes out at -5.297 eV/atom.

CIF file:
```
data_PrSmEuMg
_chemical_formula_sum 'Pr4 Sm4 Eu4 Mg4'
_cell_length_a 8.071
_cell_length_b 8.071
_cell_length_c 8.071
_cell_angle_alpha 90.00
_cell_angle_beta 90.00
_cell_angle_gamma 90.00
_symmetry_space_group_name_H-M 'F -4 3 m'
_symmetry_Int_Tables_number 216
_symmetry_space_group_name_Hall 'F -4 2 3'
loop_
_atom_site_label
_atom_site_fract_x
_atom_site_fract_y
_atom_site_fract_z
_atom_site_occupancy
Pr1 0.000 0.000 0.000 1
Sm1 0.000 0.000 0.500 1
Eu1 0.250 0.250 0.750 1
Mg1 0.250 0.250 0.250 1
```

---

No. 11
The following is a PBE calculation of PrEuMgSn after structural relaxation, from Alexandria.

The total energy comes out at -5.591 eV/atom.

CIF file:
```
data_PrEuMgSn
_chemical_formula_sum 'Pr4 Eu4 Mg4 Sn4'
_cell_length_a 7.805
_cell_length_b 7.805
_cell_length_c 7.805
_cell_angle_alpha 90.00
_cell_angle_beta 90.00
_cell_angle_gamma 90.00
_symmetry_space_group_name_H-M 'F -4 3 m'
_symmetry_Int_Tables_number 216
_symmetry_space_group_name_Hall 'F -4 2 3'
loop_
_atom_site_label
_atom_site_fract_x
_atom_site_fract_y
_atom_site_fract_z
_atom_site_occupancy
Pr1 0.000 0.000 0.000 1
Eu1 0.000 0.000 0.500 1
Mg1 0.250 0.250 0.750 1
Sn1 0.250 0.250 0.250 1
```

---

No. 12
The following is a PBE calculation of PrEuMgTl after structural relaxation, from Alexandria.

The total energy comes out at -5.012 eV/atom.

CIF file:
```
data_PrEuMgTl
_chemical_formula_sum 'Pr4 Eu4 Mg4 Tl4'
_cell_length_a 7.892
_cell_length_b 7.892
_cell_length_c 7.892
_cell_angle_alpha 90.00
_cell_angle_beta 90.00
_cell_angle_gamma 90.00
_symmetry_space_group_name_H-M 'F -4 3 m'
_symmetry_Int_Tables_number 216
_symmetry_space_group_name_Hall 'F -4 2 3'
loop_
_atom_site_label
_atom_site_fract_x
_atom_site_fract_y
_atom_site_fract_z
_atom_site_occupancy
Pr1 0.000 0.000 0.000 1
Eu1 0.000 0.000 0.500 1
Mg1 0.250 0.250 0.750 1
Tl1 0.250 0.250 0.250 1
```